VASP calculation (GGA-PBE) on an optimized crystal structure of ReCl3.

Properties
SG: Pm-3m, No. 221

Unit cell a=4.3193 b=4.3193 c=4.3193 alpha=90.00 beta=90.00 gamma=90.00
Closest atoms and distances in Å follow each position.
Fractional positions:
Re 0.0000 0.0000 0.0000  12 Cl 3.05
Cl 0.0000 0.5000 0.5000  8 Cl 3.05, 4 Re 3.05
Cl 0.5000 0.0000 0.5000  8 Cl 3.05, 4 Re 3.05
Cl 0.5000 0.5000 0.0000  8 Cl 3.05, 4 Re 3.05

***

VASP calculation (GGA-PBE) on an optimized crystal structure of SrLiI3.

Properties
SG: Pm-3m, No. 221

Unit cell a=5.6031 b=5.6031 c=5.6031 alpha=90.00 beta=90.00 gamma=90.00
Closest atoms and distances in Å follow each position.
Fractional positions:
I 0.0000 0.5000 0.0000  2 Li 2.80
I 0.0000 0.0000 0.5000  2 Li 2.80
I 0.5000 0.0000 0.0000  2 Li 2.80
Sr 0.5000 0.5000 0.5000  12 I 3.96
Li 0.0000 0.0000 0.0000  6 I 2.80

***

| no. | size of the total moment (μB/cell) | final energy (eV/atom) | DOS at the Fermi energy (states/eV per cell) |
| --- | --- | --- | --- |
| 1 | 4.06 | -3.28 | 5.75 |
| 2 | 0.00 | -2.88 | 0.00 |